PuPaIn4: optimized geometry, PBE-GGA.

Properties
Spin magnetization = 7.67 μB per cell
Calculated formation energy = -0.068 eV per atom
Space group = F-43m, No. 216

a = 5.9671 Å, b = 5.9671 Å, c = 5.9671 Å
α = 60.00°, β = 60.00°, γ = 60.00°
Each line ends with the local moment (μB).
Positions (direct):
In 0.6250 0.1250 0.6250  -0.01
Pu 0.2500 0.2500 0.2500  5.58
In 0.1250 0.6250 0.6250  -0.01
In 0.6250 0.6250 0.6250  -0.01
In 0.6250 0.6250 0.1250  -0.01
Pa 0.0000 0.0000 0.0000  1.21